A plane-wave DFT calculation with SCAN was carried out for a PBEsol-optimized structure of IrOs.

Values from the calculation:
Fermi-level density of states, states/eV/f.u.: 1.45
Formation energy, kJ/mol of atoms: 3.3

Unit cell a=5.1094 b=5.1094 c=4.7296 alpha=116.98 beta=116.98 gamma=30.92
Last column: nearest neighbours and their distance in Å.
Fractional coordinates of all 4 atoms:
Ir1 0.1225 0.1225 0.2919  7 Os 2.67-2.74, 5 Ir 2.68-2.72
Ir2 0.8775 0.8775 0.7081  7 Os 2.67-2.74, 5 Ir 2.68-2.72
Os1 0.3731 0.3731 0.2076  5 Os 2.67-2.72, 7 Ir 2.67-2.74
Os2 0.6269 0.6269 0.7924  5 Os 2.67-2.72, 7 Ir 2.67-2.74

***

A plane-wave DFT calculation with SCAN was carried out for a PBEsol-optimized structure of IrOs2.

Values from the calculation:
Fermi-level density of states, states/eV/f.u.: 2.22
Formation energy, kJ/mol of atoms: 6.4
E above lowest polymorph, eV/f.u.: 0.22

Unit cell a=4.6849 b=4.6849 c=4.6849 alpha=146.50 beta=131.79 gamma=59.98
Last column: nearest neighbours and their distance in Å.
Fractional coordinates of all 3 atoms:
Ir1 0.0000 0.0000 0.0000  10 Os 2.69-2.71, 2 Ir 2.70
Os1 0.3312 0.3312 0.0000  7 Os 2.69-2.74, 5 Ir 2.69-2.71
Os2 0.6688 0.6688 0.0000  7 Os 2.69-2.74, 5 Ir 2.69-2.71